(1)
RbSmSO, relaxed, DFT PBE; density of states at the Fermi level = 0.0 states/eV per cell; E = -5.81 eV per atom; energy relative to the elements, uncorrected = -2.11 eV/atom
1.0
3.8393 -0.0005 0.0009
-1.9193 3.3249 -0.0038
-1.9174 -1.1143 7.4570
Rb Sm S O
1 1 1 1
direct
0.9674 0.3829 0.3637
0.2803 0.5375 0.8339
0.1024 0.9494 0.0667
0.5278 0.1610 0.7053

(2)
Rb2SmSO6, relaxed, DFT PBE; density of states at the Fermi level = 1.8 states/eV per cell; E = -5.62 eV per atom; energy relative to the elements, uncorrected = -1.57 eV/atom
1.0
-0.2184 5.7236 0.5352
-6.3542 -0.1639 -0.8402
2.4664 -0.4576 5.9005
Rb Sm S O
2 1 1 6
direct
0.1090 0.3333 0.6667
0.8910 0.6667 0.3333
0.5000 0.0000 0.0000
0.0000 0.0000 0.0000
0.8280 0.1243 0.2486
0.8280 0.1243 0.8757
0.8280 0.7514 0.8757
0.1720 0.8757 0.1243
0.1720 0.2486 0.1243
0.1720 0.8757 0.7514

(3)
RbSmS2O6, relaxed, DFT PBE; density of states at the Fermi level = 0.0 states/eV per cell; E = -6.37 eV per atom; energy relative to the elements, uncorrected = -2.00 eV/atom
1.0
5.4794 0.0000 0.0000
2.7397 4.7453 0.0000
2.7397 1.5818 7.0684
Rb Sm S O
1 1 2 6
direct
0.0000 0.0000 0.0000
0.5000 0.5000 0.5000
0.7396 0.7396 0.7813
0.2604 0.2604 0.2187
0.0504 0.5412 0.6965
0.7119 0.0504 0.6965
0.4588 0.2881 0.3035
0.9496 0.4588 0.3035
0.2881 0.9496 0.3035
0.5412 0.7119 0.6965

(4)
RbSnS2O8, relaxed, DFT PBE; density of states at the Fermi level = 3.4 states/eV per cell; E = -5.88 eV per atom; energy relative to the elements, uncorrected = -1.48 eV/atom
1.0
-2.2539 -4.3036 -1.5216
1.2535 0.6240 4.8945
-7.9026 3.5849 1.5668
Rb Sn S O
1 1 2 8
direct
0.0000 0.0000 0.0000
0.0000 0.0000 0.5000
0.6667 0.3333 0.2816
0.3333 0.6667 0.7184
0.3333 0.6667 0.8843
0.3775 0.3105 0.3397
0.6895 0.0670 0.3397
0.6667 0.3333 0.1157
0.3105 0.9330 0.6603
0.6225 0.6895 0.6603
0.0670 0.3775 0.6603
0.9330 0.6225 0.3397

(5)
Rb2Sn2S2O, relaxed, DFT PBE; density of states at the Fermi level = 0.0 states/eV per cell; E = -4.29 eV per atom; energy relative to the elements, uncorrected = -0.98 eV/atom
1.0
7.0733 0.1840 0.9208
4.2274 6.1721 2.0688
1.6305 3.1153 6.6520
Rb Sn S O
2 2 2 1
direct
0.7272 0.9856 0.7358
0.2728 0.0144 0.2642
0.8176 0.4232 0.7480
0.1824 0.5768 0.2520
0.8410 0.4937 0.3468
0.1590 0.5063 0.6532
0.0000 0.0000 0.0000

(6)
Rb4SnS4O4, relaxed, DFT PBE; E = -4.49 eV per atom; energy relative to the elements, uncorrected = -1.09 eV/atom
1.0
8.2933 -0.6794 -0.1945
-1.6770 8.3741 -0.0362
-1.9266 -3.0406 11.8807
Rb Sn S O
8 2 8 8
direct
0.3061 0.1741 0.5177
0.6939 0.8259 0.4823
0.9263 0.9767 0.8220
0.0737 0.0233 0.1780
0.6156 0.5344 0.8797
0.3844 0.4656 0.1203
0.8251 0.4448 0.6109
0.1749 0.5552 0.3891
0.3541 0.8610 0.7371
0.6459 0.1390 0.2629
0.4560 0.6215 0.6489
0.5440 0.3785 0.3511
0.0919 0.8294 0.6057
0.9081 0.1706 0.3943
0.3000 0.8255 0.9572
0.7000 0.1745 0.0428
0.6048 0.0822 0.7013
0.3952 0.9178 0.2987
0.5760 0.2632 0.7114
0.4240 0.7368 0.2886
0.6644 0.6854 0.6982
0.3356 0.3146 0.3018
0.3339 0.6588 0.9525
0.6661 0.3412 0.0475
0.1110 0.8080 0.9491
0.8890 0.1920 0.0509

(7)
Rb2SrS2O6, relaxed, DFT PBE; density of states at the Fermi level = 0.0 states/eV per cell; E = -5.67 eV per atom; energy relative to the elements, uncorrected = -1.88 eV/atom
1.0
-2.8758 -2.9548 4.4941
0.2564 -6.0862 0.3011
5.7972 -2.5049 6.2012
Rb Sr S O
2 1 2 6
direct
0.7331 0.7331 0.8006
0.2669 0.2669 0.1994
0.0000 0.0000 0.0000
0.4143 0.4143 0.7571
0.5857 0.5857 0.2429
0.7457 0.7457 0.1656
0.3430 0.7457 0.1656
0.7457 0.3430 0.1656
0.2543 0.6570 0.8344
0.6570 0.2543 0.8344
0.2543 0.2543 0.8344

(8)
RbSrS2O6, relaxed, DFT PBE; density of states at the Fermi level = 2.1 states/eV per cell; E = -5.87 eV per atom; energy relative to the elements, uncorrected = -1.80 eV/atom
1.0
6.9834 -0.5080 -0.2222
-1.3591 6.8687 -0.2222
-1.8871 -2.1342 7.7135
Rb Sr S O
2 2 4 12
direct
0.1518 0.8482 0.2500
0.8482 0.1518 0.7500
0.5666 0.4334 0.2500
0.4334 0.5666 0.7500
0.3188 0.0706 0.7626
0.9294 0.6812 0.7374
0.6812 0.9294 0.2374
0.0706 0.3188 0.2626
0.9182 0.4294 0.2141
0.5706 0.0818 0.2859
0.0818 0.5706 0.7859
0.4294 0.9182 0.7141
0.1482 0.2485 0.1096
0.7515 0.8518 0.3904
0.8518 0.7515 0.8904
0.2485 0.1482 0.6096
0.2659 0.4761 0.4126
0.5239 0.7341 0.0874
0.7341 0.5239 0.5874
0.4761 0.2659 0.9126

(9)
Rb2SrSO6, relaxed, DFT PBE; density of states at the Fermi level = 4.8 states/eV per cell; E = -5.09 eV per atom; energy relative to the elements, uncorrected = -1.35 eV/atom
1.0
6.1333 0.0000 0.0000
0.0000 6.3664 0.0000
0.0000 -3.1832 5.5135
Rb Sr S O
2 1 1 6
direct
0.1105 0.3333 0.6667
0.8895 0.6667 0.3333
0.5000 0.0000 0.0000
0.0000 0.0000 0.0000
0.8420 0.1234 0.2467
0.8420 0.1234 0.8766
0.8420 0.7533 0.8766
0.1580 0.8766 0.1234
0.1580 0.2467 0.1234
0.1580 0.8766 0.7533

(10)
RbSrS2O8, relaxed, DFT PBE; density of states at the Fermi level = 15.1 states/eV per cell; E = -6.02 eV per atom; energy relative to the elements, uncorrected = -1.81 eV/atom
1.0
5.6366 0.0000 0.0000
-2.8183 4.8815 0.0000
0.0000 0.0000 8.4895
Rb Sr S O
1 1 2 8
direct
0.0000 0.0000 0.0000
0.0000 0.0000 0.5000
0.6667 0.3333 0.2488
0.3333 0.6667 0.7512
0.3333 0.6667 0.9257
0.3813 0.2196 0.3073
0.7804 0.1618 0.3073
0.6667 0.3333 0.0743
0.2196 0.8382 0.6927
0.6186 0.7804 0.6927
0.1618 0.3814 0.6927
0.8382 0.6186 0.3073

(11)
RbTcS2O8, relaxed, DFT PBE; density of states at the Fermi level = 5.8 states/eV per cell; E = -6.33 eV per atom; energy relative to the elements, uncorrected = -1.39 eV/atom
1.0
-0.7247 4.8435 0.4428
-3.3354 2.2552 -2.8230
-7.3698 0.9217 5.1610
Rb Tc S O
1 1 2 8
direct
0.5000 0.5000 0.5000
0.0000 0.0000 0.0000
0.2656 0.2656 0.2032
0.7344 0.7344 0.7968
0.2088 0.2088 0.3735
0.5865 0.2577 0.1451
0.7912 0.7912 0.6265
0.0107 0.5865 0.1451
0.9892 0.4135 0.8549
0.2577 0.0107 0.1451
0.7423 0.9892 0.8549
0.4135 0.7423 0.8549

(12)
RbTeS2O8, relaxed, DFT PBE; density of states at the Fermi level = 5.7 states/eV per cell; E = -5.56 eV per atom; energy relative to the elements, uncorrected = -1.23 eV/atom
1.0
5.0150 0.0000 0.0000
-2.5075 4.3431 0.0000
0.0000 0.0000 9.2282
Rb Te S O
1 1 2 8
direct
0.0000 0.0000 0.0000
0.0000 0.0000 0.5000
0.6667 0.3333 0.2693
0.3333 0.6667 0.7307
0.3333 0.6667 0.8893
0.3671 0.2977 0.3242
0.7023 0.0693 0.3242
0.6667 0.3333 0.1107
0.2977 0.9307 0.6758
0.6329 0.7023 0.6758
0.0693 0.3671 0.6758
0.9307 0.6329 0.3242